Material: Th12Bi6C
Method: DFT, PBE-GGA
State: relaxed

a b c (Å): 8.7600 8.7600 8.7600
angles (deg): 100.22 100.22 100.22
Sites, in units of the cell vectors:
Th: 0.7998 0.5829 0.4674
Th: 0.4674 0.7998 0.5829
Th: 0.5829 0.4674 0.7998
Th: 0.2002 0.4171 0.5326
Th: 0.5326 0.2002 0.4171
Th: 0.4171 0.5326 0.2002
Th: 0.0644 0.0183 0.2978
Th: 0.9817 0.7022 0.9356
Th: 0.7022 0.9356 0.9817
Th: 0.9356 0.9817 0.7022
Th: 0.0183 0.2978 0.0644
Th: 0.2978 0.0644 0.0183
Bi: 0.6929 0.8870 0.3368
Bi: 0.6632 0.3071 0.1130
Bi: 0.1130 0.6632 0.3071
Bi: 0.3071 0.1130 0.6632
Bi: 0.3368 0.6929 0.8870
Bi: 0.8870 0.3368 0.6929
C: 0.0000 0.0000 0.0000

Crystal system: trigonal
Calculated formation energy in kJ per mole of atoms: -15
Symmetry: R-3 (148)
Calculated density in g cm⁻³: 10.58